Record 1
The following is a GGA-PBE calculation of a relaxed structure of MgTc2Au, from Alexandria via LeMat-Bulk.

Output
Space-group type   I-4m2

a b c (Å): 4.740 4.740 4.740
angles (deg): 128.79 128.79 75.35
Fractional coordinates of all 4 atoms:
Mg1 0.000 0.000 0.000
Tc1 0.250 0.750 0.500
Tc2 0.500 0.500 0.000
Au1 0.750 0.250 0.500

=====

Record 2
The following is a GGA-PBE calculation of a relaxed structure of MgTc2Au, from Alexandria via LeMat-Bulk.

Output
Space-group type   C2/m

a b c (Å): 5.398 5.398 2.696
angles (deg): 98.33 98.33 121.54
Fractional coordinates of all 4 atoms:
Mg1 0.000 0.000 0.000
Tc1 0.000 0.500 0.500
Tc2 0.500 0.000 0.500
Au1 0.500 0.500 0.000

=====

Record 3
The following is a GGA-PBE calculation of a relaxed structure of MgTcAu2, from Alexandria via LeMat-Bulk.

Output
Space-group type   Pmm2

a b c (Å): 2.795 4.162 5.845
angles (deg): 90.00 90.00 90.00
Fractional coordinates of all 4 atoms:
Mg1 0.000 0.000 0.000
Tc1 0.500 0.500 0.264
Au1 0.000 0.000 0.486
Au2 0.500 0.500 0.772

=====

Per-record calculated total energy, eV/atom: -6.24 -6.16 -4.52